Material: TmPuBi3
Method: DFT, GGA-PBE
State: optimized geometry

Cell: 6.785 6.302 14.079 Å, 90.00 90.00 90.00°
Positions (direct):
Tm: 0.500 0.250 0.106
Tm: 0.000 0.750 0.894
Tm: 0.500 0.750 0.894
Tm: 0.000 0.250 0.106
Pu: 0.750 0.487 0.679
Pu: 0.250 0.513 0.321
Pu: 0.750 0.987 0.321
Pu: 0.250 0.013 0.679
Bi: 0.000 0.250 0.495
Bi: 0.500 0.750 0.505
Bi: 0.000 0.750 0.505
Bi: 0.500 0.250 0.495
Bi: 0.250 0.207 0.915
Bi: 0.750 0.793 0.085
Bi: 0.250 0.707 0.085
Bi: 0.750 0.293 0.915
Bi: 0.250 0.512 0.729
Bi: 0.750 0.488 0.271
Bi: 0.250 0.012 0.271
Bi: 0.750 0.988 0.729

Calculated values
The calculation puts the magnetization at 22.55 Bohr magnetons per cell. The calculation puts the density of states at the Fermi level at 13.9 states/eV/f.u. Its volume is 150.5 Å³/f.u. For the uncorrected energy, the calculation gives -0.4755 Ry per atom.